Entry i
The following is a PBE calculation of Sr2NiH4 after structural relaxation, from Alexandria.

abc: 5.434 5.243 7.532
angles: 90.00 90.26 90.00
Atoms (fractional coordinates):
1 Sr 0.735 0.750 0.998
2 Sr 0.265 0.250 0.002
3 Sr 0.265 0.250 0.496
4 Sr 0.735 0.750 0.504
5 Ni 0.288 0.750 0.249
6 Ni 0.712 0.250 0.751
7 H 0.486 0.513 0.250
8 H 0.198 0.750 0.049
9 H 0.802 0.250 0.951
10 H 0.486 0.987 0.250
11 H 0.804 0.250 0.551
12 H 0.514 0.013 0.750
13 H 0.514 0.487 0.750
14 H 0.196 0.750 0.449


Entry ii
The following is a PBE calculation of Sr2NiH4 after structural relaxation, from Alexandria.

abc: 3.652 3.652 7.987
angles: 76.78 76.78 90.00
Atoms (fractional coordinates):
1 Sr 0.374 0.374 0.251
2 Sr 0.626 0.626 0.749
3 H 0.109 0.109 0.782
4 H 0.891 0.891 0.218
5 H 0.000 0.500 0.000
6 H 0.500 0.000 0.000
7 Ni 0.000 0.000 0.000


Least stable: entry ii


Entry i
The following is a PBE calculation of TaNiH after structural relaxation, from Alexandria.

abc: 4.752 2.735 4.815
angles: 90.00 101.26 90.00
Atoms (fractional coordinates):
1 Ta 0.274 0.000 0.705
2 Ta 0.726 0.000 0.295
3 Ni 0.207 0.500 0.208
4 Ni 0.793 0.500 0.792
5 H 0.500 0.500 0.000
6 H 0.000 0.000 0.000


Entry ii
The following is a PBE calculation of TaNiH after structural relaxation, from Alexandria.

abc: 4.519 2.909 4.683
angles: 90.00 90.00 90.00
Atoms (fractional coordinates):
1 Ta 0.250 0.000 0.711
2 Ta 0.750 0.000 0.289
3 Ni 0.250 0.500 0.169
4 Ni 0.750 0.500 0.831
5 H 0.000 0.500 0.500
6 H 0.500 0.500 0.500


Entry iii
The following is a PBE calculation of TaNiH after structural relaxation, from Alexandria.

abc: 4.709 2.789 4.748
angles: 90.00 100.31 90.00
Atoms (fractional coordinates):
1 Ta 0.258 0.000 0.723
2 Ta 0.742 0.000 0.277
3 Ni 0.795 0.500 0.792
4 Ni 0.205 0.500 0.208
5 H 0.500 0.500 0.500
6 H 0.500 0.500 0.000


Entry iv
The following is a PBE calculation of TaNiH after structural relaxation, from Alexandria.

abc: 4.423 2.875 2.875
angles: 120.00 90.00 90.00
Atoms (fractional coordinates):
1 Ni 0.251 0.333 0.667
2 H 0.016 0.000 0.000
3 Ta 0.733 0.667 0.333


Least stable: entry iv


Entry i
The following is a PBE calculation of TaNiH after structural relaxation, from Alexandria.

abc: 2.896 4.748 4.833
angles: 80.49 89.26 106.55
Atoms (fractional coordinates):
1 Ta 0.891 0.816 0.687
2 Ta 0.655 0.360 0.360
3 Ni 0.156 0.342 0.892
4 Ni 0.390 0.833 0.155
5 H 0.521 0.102 0.740
6 H 0.024 0.074 0.307


Entry ii
The following is a PBE calculation of TaNiH after structural relaxation, from Alexandria.

abc: 2.790 5.815 4.748
angles: 123.18 90.02 103.88
Atoms (fractional coordinates):
1 Ni 0.638 0.777 0.935
2 Ni 0.362 0.223 0.065
3 H 0.743 0.985 0.744
4 H 0.257 0.015 0.256
5 Ta 0.106 0.712 0.386
6 Ta 0.894 0.288 0.614


Least stable: entry i


Entry i
The following is a PBE calculation of TaNiH after structural relaxation, from Alexandria.

abc: 4.275 2.942 10.157
angles: 90.00 90.00 90.00
Atoms (fractional coordinates):
1 Ta 0.000 0.000 0.454
2 Ta 0.000 0.500 0.954
3 Ta 0.500 0.000 0.752
4 Ta 0.500 0.500 0.252
5 Ni 0.000 0.000 0.158
6 Ni 0.000 0.500 0.658
7 Ni 0.500 0.000 0.027
8 Ni 0.500 0.500 0.527
9 H 0.761 0.000 0.296
10 H 0.239 0.000 0.296
11 H 0.761 0.500 0.796
12 H 0.239 0.500 0.796


Entry ii
The following is a PBE calculation of TaNiH after structural relaxation, from Alexandria.

abc: 7.061 6.181 2.824
angles: 90.00 90.00 90.00
Atoms (fractional coordinates):
1 Ta 0.724 0.000 0.000
2 Ta 0.276 0.000 0.000
3 Ta 0.224 0.500 0.000
4 Ta 0.776 0.500 0.000
5 Ni 0.000 0.205 0.500
6 Ni 0.000 0.795 0.500
7 Ni 0.500 0.705 0.500
8 Ni 0.500 0.295 0.500
9 H 0.250 0.250 0.500
10 H 0.250 0.750 0.500
11 H 0.750 0.250 0.500
12 H 0.750 0.750 0.500


Entry iii
The following is a PBE calculation of TaNiH after structural relaxation, from Alexandria.

abc: 4.236 2.939 10.205
angles: 90.00 91.02 90.00
Atoms (fractional coordinates):
1 Ta 0.779 0.000 0.653
2 Ta 0.221 0.000 0.347
3 Ta 0.779 0.500 0.153
4 Ta 0.221 0.500 0.847
5 Ni 0.750 0.000 0.937
6 Ni 0.250 0.000 0.063
7 Ni 0.750 0.500 0.437
8 Ni 0.250 0.500 0.563
9 H 0.512 0.000 0.809
10 H 0.488 0.000 0.191
11 H 0.512 0.500 0.309
12 H 0.488 0.500 0.691


Entry iv
The following is a PBE calculation of TaNiH after structural relaxation, from Alexandria.

abc: 2.916 10.067 4.174
angles: 90.00 90.00 90.00
Atoms (fractional coordinates):
1 Ta 0.000 0.654 0.250
2 Ta 0.000 0.346 0.750
3 Ta 0.500 0.154 0.250
4 Ta 0.500 0.846 0.750
5 Ni 0.000 0.934 0.250
6 Ni 0.000 0.066 0.750
7 Ni 0.500 0.434 0.250
8 Ni 0.500 0.566 0.750
9 H 0.000 0.298 0.250
10 H 0.000 0.702 0.750
11 H 0.500 0.798 0.250
12 H 0.500 0.202 0.750


Least stable: entry ii


Entry i
The following is a PBE calculation of TaNiH after structural relaxation, from Alexandria.

abc: 4.273 2.881 10.177
angles: 90.00 90.71 90.00
Atoms (fractional coordinates):
1 Ta 0.113 0.000 0.039
2 Ta 0.113 0.500 0.539
3 Ta 0.647 0.000 0.350
4 Ta 0.647 0.500 0.850
5 Ni 0.119 0.000 0.754
6 Ni 0.119 0.500 0.254
7 Ni 0.619 0.000 0.626
8 Ni 0.619 0.500 0.126
9 H 0.645 0.000 0.014
10 H 0.645 0.500 0.514
11 H 0.350 0.000 0.881
12 H 0.350 0.500 0.381


Entry ii
The following is a PBE calculation of TaNiH after structural relaxation, from Alexandria.

abc: 3.056 3.056 6.779
angles: 90.00 90.00 90.00
Atoms (fractional coordinates):
1 Ta 0.000 0.500 0.803
2 Ta 0.500 0.000 0.197
3 Ni 0.000 0.500 0.409
4 Ni 0.500 0.000 0.591
5 H 0.000 0.000 0.000
6 H 0.500 0.500 0.000


Least stable: entry i


Entry i
The following is a PBE calculation of Ta2Ni2H3 after structural relaxation, from Alexandria.

abc: 2.814 4.798 5.092
angles: 105.64 106.04 90.00
Atoms (fractional coordinates):
1 Ta 0.608 0.831 0.216
2 Ta 0.392 0.169 0.784
3 Ni 0.857 0.657 0.714
4 Ni 0.143 0.343 0.286
5 H 0.000 0.500 0.000
6 H 0.248 0.749 0.497
7 H 0.752 0.251 0.503


Entry ii
The following is a PBE calculation of Ta2Ni2H3 after structural relaxation, from Alexandria.

abc: 5.994 4.833 5.283
angles: 90.00 58.30 90.00
Atoms (fractional coordinates):
1 Ta 0.895 0.650 0.837
2 Ta 0.395 0.850 0.837
3 Ta 0.605 0.150 0.163
4 Ta 0.105 0.350 0.163
5 Ni 0.631 0.344 0.641
6 Ni 0.869 0.844 0.359
7 Ni 0.131 0.156 0.641
8 Ni 0.369 0.656 0.359
9 H 0.500 0.500 0.000
10 H 0.000 0.000 0.000
11 H 0.738 0.977 0.760
12 H 0.762 0.477 0.240
13 H 0.238 0.523 0.760
14 H 0.262 0.023 0.240


Least stable: entry ii


Entry i
The following is a PBE calculation of TaNiH2 after structural relaxation, from Alexandria.

abc: 2.930 5.015 4.869
angles: 100.38 107.55 89.97
Atoms (fractional coordinates):
1 Ta 0.750 0.250 0.000
2 Ta 0.250 0.750 0.000
3 Ni 0.000 0.000 0.500
4 Ni 0.500 0.500 0.500
5 H 0.884 0.633 0.268
6 H 0.384 0.133 0.268
7 H 0.616 0.867 0.732
8 H 0.116 0.367 0.732


Entry ii
The following is a PBE calculation of TaNiH2 after structural relaxation, from Alexandria.

abc: 3.949 3.949 5.321
angles: 68.21 68.21 90.00
Atoms (fractional coordinates):
1 Ni 0.500 0.500 0.000
2 Ni 0.250 0.750 0.500
3 H 0.568 0.125 0.250
4 H 0.182 0.625 0.250
5 H 0.375 0.432 0.750
6 H 0.875 0.818 0.750
7 Ta 0.000 0.000 0.000
8 Ta 0.750 0.250 0.500


Entry iii
The following is a PBE calculation of TaNiH2 after structural relaxation, from Alexandria.

abc: 3.006 3.006 5.082
angles: 72.80 72.80 60.00
Atoms (fractional coordinates):
1 Ni 0.000 0.000 0.000
2 H 0.111 0.111 0.668
3 H 0.889 0.889 0.332
4 Ta 0.500 0.500 0.500


Entry iv
The following is a PBE calculation of TaNiH2 after structural relaxation, from Alexandria.

abc: 2.875 2.875 5.159
angles: 73.82 73.82 60.00
Atoms (fractional coordinates):
1 Ta 0.496 0.496 0.511
2 Ni 0.672 0.672 0.983
3 H 0.076 0.076 0.773
4 H 0.256 0.256 0.233


Least stable: entry iv


Entry i
The following is a PBE calculation of TaNiH2 after structural relaxation, from Alexandria.

abc: 3.435 3.804 5.313
angles: 90.00 108.91 90.00
Atoms (fractional coordinates):
1 Ta 0.349 0.750 0.699
2 Ta 0.651 0.250 0.301
3 Ni 0.926 0.250 0.852
4 Ni 0.074 0.750 0.148
5 H 0.249 0.250 0.496
6 H 0.751 0.750 0.504
7 H 0.442 0.250 0.884
8 H 0.558 0.750 0.116


Entry ii
The following is a PBE calculation of TaNiH2 after structural relaxation, from Alexandria.

abc: 3.626 3.626 3.626
angles: 60.00 60.00 60.00
Atoms (fractional coordinates):
1 Ni 0.000 0.000 0.000
2 H 0.250 0.250 0.250
3 H 0.750 0.750 0.750
4 Ta 0.500 0.500 0.500


Least stable: entry ii


Entry i
The following is a PBE calculation of TaNi2H2 after structural relaxation, from Alexandria.

abc: 2.789 2.789 6.155
angles: 76.91 76.91 90.00
Atoms (fractional coordinates):
1 Ni 0.337 0.337 0.326
2 Ni 0.663 0.663 0.674
3 H 0.750 0.250 0.500
4 H 0.250 0.750 0.500
5 Ta 0.000 0.000 0.000


Entry ii
The following is a PBE calculation of TaNi2H2 after structural relaxation, from Alexandria.

abc: 5.190 5.190 3.518
angles: 90.00 90.00 90.00
Atoms (fractional coordinates):
1 Ni 0.163 0.663 0.500
2 Ni 0.663 0.837 0.500
3 Ni 0.837 0.337 0.500
4 Ni 0.337 0.163 0.500
5 H 0.148 0.648 0.000
6 H 0.648 0.852 0.000
7 H 0.852 0.352 0.000
8 H 0.352 0.148 0.000
9 Ta 0.000 0.000 0.000
10 Ta 0.500 0.500 0.000


Entry iii
The following is a PBE calculation of TaNi2H2 after structural relaxation, from Alexandria.

abc: 2.844 3.533 4.916
angles: 111.07 106.81 90.00
Atoms (fractional coordinates):
1 Ta 0.000 0.000 0.000
2 Ni 0.325 0.325 0.650
3 Ni 0.675 0.675 0.350
4 H 0.673 0.173 0.347
5 H 0.327 0.827 0.653


Least stable: entry ii